Here is crystalline BaMn2Fe4O11 at its relaxed geometry from the Alexandria database. Energies are from PBE+U.

The structure in POSCAR format:
```
BaMn2Fe4O11
1.0
2.9363 -5.0667 0.0000
2.9363 5.0667 0.0000
-0.0024 0.0000 13.5745
Ba Mn Fe O
2 4 8 22
Cartesian
2.9351 3.3866 6.7873 Ba
2.9363 -3.3866 0.0000 Ba
1.4766 2.5368 3.3850 Mn
2.9337 5.0527 3.3837 Mn
1.4754 -2.5368 10.1722 Mn
2.9325 -5.0527 10.1709 Mn
2.9302 3.3767 13.2746 Fe
2.8887 0.0267 5.3800 Fe
2.8875 -0.0267 12.1673 Fe
4.3888 2.5390 3.3752 Fe
2.9614 0.0219 8.1943 Fe
2.9626 -0.0219 1.4070 Fe
2.9313 -3.3767 6.4873 Fe
4.3877 -2.5390 10.1624 Fe
1.4008 0.8805 2.3396 O
1.3845 0.8369 11.2463 O
2.8721 3.4084 2.3512 O
2.9919 3.4117 11.2250 O
1.6076 0.7712 6.7748 O
1.3857 -0.8369 4.4591 O
2.8861 1.7511 4.4536 O
1.3996 -0.8805 9.1269 O
2.9954 1.7789 9.0955 O
1.6064 -0.7712 13.5620 O
2.9257 1.5050 13.4917 O
4.2344 0.7642 6.6571 O
2.9269 -1.5050 6.7045 O
2.8850 -1.7511 11.2408 O
4.4788 0.8904 11.2207 O
4.5079 0.8334 2.3003 O
2.9966 -1.7789 2.3083 O
4.2333 -0.7642 13.4443 O
2.8709 -3.4084 9.1385 O
2.9931 -3.4117 4.4378 O
4.5067 -0.8334 9.0875 O
4.4800 -0.8904 4.4334 O
```

Properties
V	404	Å³/cell
calculated total energy	-242.62	eV per cell
symmetry	No. 9

Here is crystalline Ba3MnFe2O8 at its relaxed geometry from the Alexandria database. Energies are from PBE+U.

The structure in POSCAR format:
```
Ba3MnFe2O8
1.0
5.7858 0.0000 0.0000
-2.8929 5.0107 0.0000
0.0000 0.0000 7.4827
Ba Mn Fe O
3 1 2 8
Cartesian
0.0000 0.0000 0.0000 Ba
0.0000 3.3405 4.9273 Ba
2.8929 1.6702 2.5554 Ba
0.0000 0.0000 3.7413 Mn
0.0000 3.3405 1.7394 Fe
2.8929 1.6702 5.7433 Fe
0.0000 1.6023 2.5274 O
-1.5053 4.2095 2.5274 O
1.3876 0.8012 4.9553 O
0.0000 3.3405 7.4342 O
2.8929 1.6702 0.0485 O
1.5053 4.2095 2.5274 O
4.3982 0.8012 4.9553 O
2.8929 3.4084 4.9553 O
```

Properties
V	217	Å³/cell
calculated total energy	-92.19	eV per cell
symmetry	No. 164

Look up the calculated total energy of the first one.
-242.62 eV per cell

Look up the V of the second one.
217 Å³/cell